1.
DFT (PBE) results for YZn2Os after structural relaxation.

```
YZn2Os
1.0
-1.9130 -3.9833 2.0372
0.7231 -4.7990 -0.3504
2.7913 -1.3136 3.5306
Os Y Zn
1 1 2
Direct
0.7500 0.7500 0.7500
0.2500 0.2500 0.2500
0.4787 0.4787 0.5805
0.0213 0.0213 0.9195
```

Calculated values
SG: C2/m
Volume: 18.18 Å³ per atom
ΔH_f (0 K): -0.10 eV per atom
Energy: -5.162 eV per atom

---

2.
DFT (PBE) results for LaCeSe2Cl after structural relaxation.

```
LaCeSe2Cl
1.0
-2.6815 1.6266 -2.7377
-1.3622 -7.2136 0.2136
-6.3891 1.4168 7.0999
La Cl Se Ce
2 2 4 2
Direct
0.7603 0.5207 0.2500
0.2397 0.4793 0.7500
0.8934 0.7868 0.7500
0.1066 0.2132 0.2500
0.3565 0.7130 0.0624
0.3565 0.7130 0.4376
0.6435 0.2870 0.5624
0.6435 0.2870 0.9376
0.0000 0.0000 0.5000
0.0000 0.0000 0.0000
```

Calculated values
SG: Cmcm
Volume: 28.31 Å³ per atom
Energy: -5.853 eV per atom
E_form (uncorrected): -1.918 eV per atom